Entry 1:
Density functional theory data (PBE) for a relaxed Cr3GaAu crystal.

Cell lengths 5.027, 5.027, 5.027 Å; angles 90.00, 90.00, 90.00 degrees
Space group Pm-3m (No. 221)
Inequivalent atoms, fractional coordinates:
Cr: 0.000 0.000 0.500
Ga: 0.500 0.500 0.500
Au: 0.000 0.000 0.000

The value obtained for the raw total energy is -0.4223 Ry/atom. The calculation puts the density of states at the Fermi level at 1.568 states/eV/atom.

---

Entry 2:
Density functional theory data (PBE) for a relaxed Mg2SiSb crystal.

Cell lengths 3.2383, 3.2383, 29.4463 Å; angles 90.00, 90.00, 120.00 degrees
Space group R3m (No. 160, hexagonal axes)
Inequivalent atoms, fractional coordinates:
Mg: 0.0000 0.0000 0.0000
Mg: 0.0000 0.0000 0.2432
Si: 0.0000 0.0000 0.5027
Sb: 0.0000 0.0000 0.7587

The value obtained for the raw total energy is -0.2183 Ry/atom. The calculation puts the density of states at the Fermi level at 0.275 states/eV/atom.

---

Entry 3:
Density functional theory data (PBE) for a relaxed CaErTm crystal.

Cell lengths 3.598, 3.598, 15.444 Å; angles 90.00, 90.00, 90.00 degrees
Space group I4mm (No. 107)
Inequivalent atoms, fractional coordinates:
Ca: 0.000 0.000 0.000
Er: 0.000 0.000 0.678
Tm: 0.000 0.000 0.323

The value obtained for the raw total energy is -0.2641 Ry/atom. The calculation puts the density of states at the Fermi level at 1.653 states/eV/atom.

---

Number 1: ΔE to the lowest computed polymorph 0.205 eV/atom, magnetic moment 13.288 μB per cell. Number 2: ΔE to the lowest computed polymorph 0.217 eV/atom, magnetic moment 0.000 μB per cell. Number 3: ΔE to the lowest computed polymorph 0.007 eV/atom, magnetic moment 0.000 μB per cell.